[1]
Here is a relaxed structure of Ac2YAl from Alexandria via LeMat-Bulk. Energies are from PBE.

Unit cell a=3.744 b=3.744 c=12.450 alpha=81.35 beta=81.35 gamma=60.00
Site moments in Bohr magnetons follow the coordinates.
Positions (direct):
Ac  0.901  0.901  0.298  0.02
Y  0.000  0.000  0.000  0.20
Al  0.500  0.500  0.500  0.00
Ac  0.099  0.099  0.702  0.02

## Properties
Total DFT energy (no corrections) in Ha/atom: -0.1602
Theoretical density in g/cm³: 6.4
N(E_F) in states/eV per cell: 5.92
Size of the total moment in μB/f.u.: 0.6
DFT formation energy in eV/atom: 0.247


[2]
Here is a relaxed structure of Pm3ErPb4 from Alexandria via LeMat-Bulk. Energies are from PBE.

Unit cell a=5.254 b=7.440 c=7.440 alpha=118.71 beta=90.00 gamma=90.00
Positions (direct):
Pb  0.500  0.753  0.247
Er  0.500  0.000  0.000
Pb  0.500  0.247  0.753
Pm  0.500  0.500  0.500
Pb  0.000  0.761  0.761
Pm  0.000  0.000  0.500
Pb  0.000  0.239  0.239
Pm  0.000  0.500  0.000

## Properties
Total DFT energy (no corrections) in Ha/atom: -0.1701
Theoretical density in g/cm³: 9.3
N(E_F) in states/eV per cell: 5.41
Size of the total moment in μB/f.u.: 0.0
DFT formation energy in eV/atom: -0.422


[3]
Here is a relaxed structure of Ho12TmNi6 from Alexandria via LeMat-Bulk. Energies are from PBE.

Unit cell a=8.472 b=8.472 c=8.472 alpha=109.47 beta=109.47 gamma=109.47
Positions (direct):
Ho  0.505  0.816  0.690
Tm  0.000  0.000  0.000
Ho  0.126  0.816  0.310
Ni  0.376  0.500  0.876
Ni  0.500  0.876  0.376
Ho  0.310  0.495  0.184
Ho  0.690  0.505  0.816
Ho  0.184  0.690  0.874
Ni  0.124  0.624  0.500
Ho  0.495  0.184  0.310
Ni  0.624  0.500  0.124
Ho  0.690  0.874  0.184
Ho  0.816  0.690  0.505
Ni  0.876  0.376  0.500
Ho  0.310  0.126  0.816
Ho  0.874  0.184  0.690
Ho  0.184  0.310  0.495
Ni  0.500  0.124  0.624
Ho  0.816  0.310  0.126

## Properties
Total DFT energy (no corrections) in Ha/atom: -0.1911
Theoretical density in g/cm³: 8.9
N(E_F) in states/eV per cell: 23.33
Size of the total moment in μB/f.u.: 0.0
DFT formation energy in eV/atom: -0.249


[4]
Here is a relaxed structure of YZrW2 from Alexandria via LeMat-Bulk. Energies are from PBE.

Unit cell a=3.255 b=3.255 c=8.084 alpha=90.00 beta=90.00 gamma=90.00
Positions (direct):
W  0.500  0.500  0.202
Zr  0.500  0.500  0.808
Y  0.000  0.000  0.461
W  0.000  0.000  0.029

## Properties
Total DFT energy (no corrections) in Ha/atom: -0.3683
Theoretical density in g/cm³: 10.6
N(E_F) in states/eV per cell: 3.16
Size of the total moment in μB/f.u.: 0.0
DFT formation energy in eV/atom: 0.208


[5]
Here is a relaxed structure of La3Pm4Y4 from Alexandria via LeMat-Bulk. Energies are from PBE.

Unit cell a=5.822 b=6.784 c=10.834 alpha=90.00 beta=90.00 gamma=115.41
Positions (direct):
La  0.407  0.813  0.294
Pm  0.884  0.768  0.500
Y  0.103  0.206  0.300
Pm  0.958  0.917  0.000
La  0.255  0.510  0.000
Y  0.558  0.117  0.000
Pm  0.754  0.509  0.214
Y  0.615  0.229  0.500
Pm  0.754  0.509  0.786
La  0.407  0.813  0.706
Y  0.103  0.206  0.700

## Properties
Total DFT energy (no corrections) in Ha/atom: -0.1939
Theoretical density in g/cm³: 5.8
N(E_F) in states/eV per cell: 18.78
Size of the total moment in μB/f.u.: 0.0
DFT formation energy in eV/atom: 0.147


[6]
Here is a relaxed structure of LiSi2Rh from Alexandria via LeMat-Bulk. Energies are from PBE.

Unit cell a=2.780 b=2.780 c=8.290 alpha=90.00 beta=90.00 gamma=115.77
Positions (direct):
Si  0.000  0.000  0.514
Li  0.500  0.500  0.250
Rh  0.500  0.500  0.750
Si  0.000  0.000  0.986

## Properties
Total DFT energy (no corrections) in Ha/atom: -0.1920
Theoretical density in g/cm³: 4.8
N(E_F) in states/eV per cell: 1.30
Size of the total moment in μB/f.u.: 0.0


[7]
Here is a relaxed structure of CaCo2Ge3 from Alexandria via LeMat-Bulk. Energies are from PBE.

Unit cell a=5.257 b=6.214 c=6.214 alpha=105.44 beta=90.00 gamma=90.00
Positions (direct):
Ge  0.750  0.058  0.058
Ge  0.750  0.479  0.103
Co  0.000  0.804  0.196
Co  0.500  0.196  0.804
Ge  0.250  0.897  0.521
Ca  0.750  0.657  0.657
Ge  0.250  0.521  0.897
Ca  0.250  0.343  0.343
Co  0.000  0.196  0.804
Ge  0.250  0.942  0.942
Ge  0.750  0.103  0.479
Co  0.500  0.804  0.196

## Properties
Total DFT energy (no corrections) in Ha/atom: -0.1963
Theoretical density in g/cm³: 6.4
N(E_F) in states/eV per cell: 5.00
Size of the total moment in μB/f.u.: 0.0
DFT formation energy in eV/atom: -0.329


[8]
Here is a relaxed structure of NdGd from Alexandria via LeMat-Bulk. Energies are from PBE.

Unit cell a=4.080 b=4.080 c=4.080 alpha=90.00 beta=90.00 gamma=90.00
Site moments in Bohr magnetons follow the coordinates.
Positions (direct):
Nd  0.500  0.500  0.500  0.19
Gd  0.000  0.000  0.000  7.32

## Properties
Total DFT energy (no corrections) in Ha/atom: -0.3430
Theoretical density in g/cm³: 7.4
N(E_F) in states/eV per cell: 3.42
Size of the total moment in μB/f.u.: 8.1
DFT formation energy in eV/atom: 0.090